Entry 1:
Here is a relaxed structure of Sr5Mg from Alexandria via LeMat-Bulk. Energies are from PBE-GGA.

a b c (Å): 7.861 7.861 7.861
angles (deg): 53.73 53.73 53.73
Fractional positions:
1 Mg 0.500 0.500 0.500
2 Sr 0.164 0.164 0.164
3 Sr 0.836 0.836 0.836
4 Sr 0.345 0.000 0.655
5 Sr 0.000 0.655 0.345
6 Sr 0.655 0.345 0.000

Properties
Mass density, g cm⁻³: 2.62
Total magnetization, μB/f.u.: 0.0
Excess energy over the best structure of this formula in the dataset, kJ per mole of atoms: 6.3
E_tot, eV/atom: -1.61
Formation energy, eV per atom: 0.05

***

Entry 2:
Here is a relaxed structure of YBi3F15 from Alexandria via LeMat-Bulk. Energies are from PBE-GGA.

a b c (Å): 6.022 9.033 11.758
angles (deg): 90.00 90.00 88.36
Fractional positions:
1 F 0.484 0.704 0.250
2 F 0.631 0.261 0.390
3 F 0.924 0.781 0.962
4 F 0.738 0.087 0.907
5 F 0.773 0.953 0.124
6 F 0.631 0.261 0.110
7 F 0.076 0.219 0.462
8 F 0.738 0.087 0.593
9 F 0.516 0.296 0.750
10 F 0.369 0.739 0.890
11 F 0.176 0.461 0.635
12 F 0.343 0.501 0.075
13 F 0.227 0.047 0.624
14 F 0.227 0.047 0.876
15 F 0.972 0.872 0.750
16 F 0.657 0.499 0.575
17 F 0.804 0.683 0.750
18 F 0.262 0.913 0.407
19 F 0.824 0.539 0.365
20 F 0.369 0.739 0.610
21 F 0.176 0.461 0.865
22 F 0.824 0.539 0.135
23 F 0.262 0.913 0.093
24 F 0.657 0.499 0.925
25 F 0.343 0.501 0.425
26 F 0.076 0.219 0.038
27 F 0.196 0.317 0.250
28 F 0.924 0.781 0.538
29 F 0.028 0.128 0.250
30 F 0.773 0.953 0.376
31 Y 0.830 0.343 0.250
32 Y 0.170 0.657 0.750
33 Bi 0.564 0.685 0.059
34 Bi 0.436 0.315 0.941
35 Bi 0.436 0.315 0.559
36 Bi 0.000 0.000 0.000
37 Bi 0.000 0.000 0.500
38 Bi 0.564 0.685 0.441

Properties
Formation energy without anion corrections, kJ/mol of atoms: -231.2
Mass density, g cm⁻³: 5.20
Total magnetization, μB/f.u.: 1.0
E_tot, eV/atom: -4.83

***

Entry 3:
Here is a relaxed structure of CaTb2Er from Alexandria via LeMat-Bulk. Energies are from PBE-GGA.

a b c (Å): 3.587 3.587 12.191
angles (deg): 81.54 81.54 60.00
Fractional positions:
1 Er 0.666 0.666 0.001
2 Tb 0.255 0.255 0.234
3 Tb 0.078 0.078 0.766
4 Ca 0.500 0.500 0.499

Properties
Mass density, g cm⁻³: 6.52
Total magnetization, μB/f.u.: 0.0
Excess energy over the best structure of this formula in the dataset, kJ per mole of atoms: 0.0
E_tot, eV/atom: -3.90
Formation energy, eV per atom: 0.06

***

Entry 4:
Here is a relaxed structure of Nd2ErLu from Alexandria via LeMat-Bulk. Energies are from PBE-GGA.

a b c (Å): 5.703 5.703 5.703
angles (deg): 60.00 60.00 60.00
Fractional positions:
1 Lu 0.500 0.500 0.500
2 Nd 0.750 0.750 0.750
3 Nd 0.250 0.250 0.250
4 Er 0.000 0.000 0.000

Properties
Mass density, g cm⁻³: 7.98
Total magnetization, μB/f.u.: 0.0
Excess energy over the best structure of this formula in the dataset, kJ per mole of atoms: 7.0
E_tot, eV/atom: -4.56
Formation energy, eV per atom: 0.09

***

Entry 5:
Here is a relaxed structure of SbAsAu14 from Alexandria via LeMat-Bulk. Energies are from PBE-GGA.

a b c (Å): 5.956 5.956 9.685
angles (deg): 90.00 90.00 119.80
Fractional positions:
1 Au 0.665 0.839 0.000
2 Au 0.169 0.831 0.500
3 Au 0.161 0.335 0.000
4 Au 0.169 0.335 0.500
5 Au 0.668 0.332 0.500
6 Au 0.333 0.667 0.251
7 Au 0.333 0.667 0.749
8 Au 0.665 0.831 0.500
9 Au 0.836 0.669 0.746
10 Au 0.835 0.165 0.255
11 Au 0.835 0.165 0.745
12 Au 0.331 0.164 0.746
13 Au 0.331 0.164 0.254
14 Au 0.836 0.669 0.254
15 As 0.168 0.832 0.000
16 Sb 0.663 0.337 0.000

Properties
Formation energy without anion corrections, kJ/mol of atoms: 5.6
Mass density, g cm⁻³: 16.45
Total magnetization, μB/f.u.: 0.0
E_tot, eV/atom: -3.36

***

Entry 6:
Here is a relaxed structure of BaAlTl2Au from Alexandria via LeMat-Bulk. Energies are from PBE-GGA.

a b c (Å): 5.565 5.000 5.565
angles (deg): 90.00 90.00 90.00
Fractional positions:
1 Tl 0.500 0.000 0.000
2 Tl 0.000 0.000 0.500
3 Al 0.000 0.000 0.000
4 Au 0.000 0.500 0.000
5 Ba 0.500 0.500 0.500

Properties
Mass density, g cm⁻³: 8.26
Total magnetization, μB/f.u.: 0.0
E_tot, eV/atom: -2.91
Formation energy, eV per atom: -0.18